DFT (PBE) results for a relaxed Dy5Y8Tm crystal.

Summary:
DOS at the Fermi energy, states/eV/atom: 1.52
Calculated total energy, eV/atom: -5.405

a b c (Å): 8.439 8.439 8.439
angles (deg): 110.88 106.70 110.87
Positions (direct):
1 Y 0.338 0.261 0.428
2 Y 0.523 0.606 0.271
3 Y 0.665 0.394 0.917
4 Y 0.729 0.252 0.335
5 Y 0.083 0.748 0.477
6 Y 0.572 0.911 0.833
7 Dy 0.500 0.000 0.500
8 Dy 0.288 0.103 0.966
9 Tm 0.250 0.500 0.750
10 Dy 0.863 0.897 0.185
11 Dy 0.034 0.321 0.137
12 Dy 0.815 0.679 0.712
13 Y 0.167 0.739 0.078
14 Y 0.922 0.089 0.662

DFT (PBE) results for a relaxed Dy2Y2Tm5 crystal.

Summary:
DOS at the Fermi energy, states/eV/atom: 1.77
Calculated total energy, eV/atom: -4.723

a b c (Å): 11.612 6.658 9.973
angles (deg): 109.50 125.60 90.00
Positions (direct):
1 Tm 0.008 0.151 0.500
2 Y 0.365 0.931 0.746
3 Tm 0.381 0.035 0.285
4 Tm 0.187 0.157 0.894
5 Tm 0.207 0.657 0.894
6 Y 0.119 0.685 0.254
7 Dy 0.265 0.360 0.500
8 Tm 0.619 0.750 0.715
9 Tm 0.596 0.250 0.715
10 Tm 0.793 0.764 0.106
11 Y 0.881 0.431 0.746
12 Tm 0.404 0.535 0.285
13 Y 0.635 0.185 0.254
14 Tm 0.992 0.651 0.500
15 Dy 0.735 0.860 0.500
16 Dy 0.000 0.004 0.000
17 Dy 0.500 0.504 0.000
18 Tm 0.813 0.264 0.106

DFT (PBE) results for a relaxed Dy5Y4Tm2 crystal.

Summary:
DOS at the Fermi energy, states/eV/atom: 1.62
Calculated total energy, eV/atom: -4.995

a b c (Å): 3.499 9.000 12.554
angles (deg): 111.01 98.01 90.00
Positions (direct):
1 Tm 0.731 0.731 0.463
2 Y 0.000 0.692 0.000
3 Dy 0.146 0.345 0.292
4 Y 0.000 0.308 0.000
5 Dy 0.500 0.000 0.000
6 Dy 0.854 0.655 0.708
7 Dy 0.146 0.947 0.292
8 Y 0.598 0.598 0.196
9 Dy 0.854 0.053 0.708
10 Tm 0.269 0.269 0.537
11 Y 0.402 0.402 0.804

DFT (PBE) results for a relaxed Dy3Y2Tm6 crystal.

Summary:
DOS at the Fermi energy, states/eV/atom: 1.66
Calculated total energy, eV/atom: -4.580

a b c (Å): 4.675 4.675 16.851
angles (deg): 97.97 97.97 90.00
Positions (direct):
1 Tm 0.123 0.623 0.245
2 Dy 0.000 0.000 0.000
3 Dy 0.201 0.201 0.403
4 Tm 0.377 0.877 0.755
5 Dy 0.799 0.799 0.597
6 Tm 0.696 0.696 0.391
7 Tm 0.623 0.123 0.245
8 Tm 0.304 0.304 0.609
9 Y 0.547 0.547 0.093
10 Y 0.453 0.453 0.907
11 Tm 0.877 0.377 0.755

DFT (PBE) results for a relaxed Dy2Y6Tm3 crystal.

Summary:
DOS at the Fermi energy, states/eV/atom: 1.55
Calculated total energy, eV/atom: -5.554

a b c (Å): 3.546 3.546 31.822
angles (deg): 86.81 86.81 60.00
Positions (direct):
1 Y 0.090 0.090 0.729
2 Y 0.637 0.637 0.090
3 Y 0.910 0.910 0.271
4 Dy 0.546 0.546 0.363
5 Tm 0.000 0.000 0.000
6 Tm 0.727 0.727 0.819
7 Tm 0.273 0.273 0.181
8 Y 0.818 0.818 0.546
9 Y 0.182 0.182 0.454
10 Dy 0.454 0.454 0.637
11 Y 0.363 0.363 0.910

DFT (PBE) results for a relaxed Dy12YTm7 crystal.

Summary:
DOS at the Fermi energy, states/eV/atom: 0.93
Calculated total energy, eV/atom: -4.342

a b c (Å): 8.634 8.634 8.634
angles (deg): 95.02 95.02 95.02
Positions (direct):
1 Dy 0.314 0.187 0.750
2 Tm 0.020 0.082 0.352
3 Dy 0.250 0.686 0.813
4 Dy 0.750 0.314 0.187
5 Dy 0.477 0.147 0.415
6 Dy 0.813 0.250 0.686
7 Dy 0.853 0.585 0.523
8 Dy 0.187 0.750 0.314
9 Y 0.000 0.000 0.000
10 Dy 0.415 0.477 0.147
11 Dy 0.686 0.813 0.250
12 Tm 0.918 0.648 0.980
13 Tm 0.648 0.980 0.918
14 Dy 0.523 0.853 0.585
15 Dy 0.147 0.415 0.477
16 Dy 0.585 0.523 0.853
17 Tm 0.082 0.352 0.020
18 Tm 0.352 0.020 0.082
19 Tm 0.500 0.500 0.500
20 Tm 0.980 0.918 0.648

The lowest calculated total energy belongs to which entry?
Dy2Y6Tm3